{
  "formula": "MoH4O5",
  "functional": "PBE with a Hubbard U",
  "state": "relaxed",
  "de_polymorph_mev_per_atom": 0,
  "total_magnetization_mub_per_fu": 0.0,
  "crystal_system": "monoclinic",
  "space_group": "Pc",
  "cell": [[3.9955, 0.0000, 0.0000], [0.0000, 6.8471, 0.1622], [0.0000, 1.8594, 7.8089]],
  "species": ["O", "H", "H", "O", "Mo", "H", "O", "O", "H", "O", "H", "O", "Mo", "H", "O", "O", "H", "O", "O", "H"],
  "frac_coords": [[0.4630, 0.9969, 0.2132], [0.6347, 0.5897, 0.4522], [0.7524, 0.6705, 0.1792], [0.0016, 0.9757, 0.4633], [0.0239, 0.9886, 0.2412], [0.6296, 0.4248, 0.0640], [0.5572, 0.5201, 0.5699], [0.9984, 0.9757, 0.9633], [0.3704, 0.4248, 0.5640], [0.1038, 0.7068, 0.7674], [0.1521, 0.3642, 0.1216], [0.4428, 0.5201, 0.0699], [0.9761, 0.9886, 0.7412], [0.2476, 0.6705, 0.6792], [0.8962, 0.7068, 0.2674], [0.9464, 0.2696, 0.1403], [0.3653, 0.5897, 0.9522], [0.5370, 0.9969, 0.7132], [0.0536, 0.2696, 0.6403], [0.8479, 0.3642, 0.6216]]
}